(1)
# Tm11Zn9Co4

A relaxed structure of Tm11Zn9Co4 (PBE, the Alexandria database).

Lattice parameters (Å, degrees): 3.5589 12.0924 12.0924 112.39 90.00 90.00
Closest atoms and distances in Å follow each position.
Fractional positions:
Tm  0.0000  0.5835  0.9169  2 Co 2.72, 4 Zn 2.97-2.98
Tm  0.0000  0.4165  0.0831  2 Co 2.72, 4 Zn 2.97-2.98
Tm  0.0000  0.9169  0.5835  2 Co 2.72, 4 Zn 2.97-2.98
Tm  0.0000  0.0831  0.4165  2 Co 2.72, 4 Zn 2.97-2.98
Tm  0.0000  0.6321  0.3679  4 Co 2.72
Tm  0.0000  0.3679  0.6321  4 Co 2.72
Tm  0.0000  0.8321  0.1679  8 Zn 2.99-3.22
Tm  0.0000  0.1679  0.8321  8 Zn 2.99-3.22
Tm  0.0000  0.0000  0.0000  8 Zn 2.99
Tm  0.0000  0.7059  0.7059  4 Co 2.73
Tm  0.0000  0.2941  0.2941  4 Co 2.73
Zn  0.5000  0.6301  0.1585  1 Zn 2.84, 1 Co 2.89, 6 Tm 2.98-3.09
Zn  0.5000  0.3699  0.8415  1 Zn 2.84, 1 Co 2.89, 6 Tm 2.98-3.09
Zn  0.5000  0.1585  0.6301  1 Zn 2.84, 1 Co 2.89, 6 Tm 2.98-3.09
Zn  0.5000  0.8415  0.3699  1 Zn 2.84, 1 Co 2.89, 6 Tm 2.98-3.09
Zn  0.5000  0.7853  0.9325  1 Co 2.94, 1 Zn 2.96, 8 Tm 2.97-3.22
Zn  0.5000  0.2147  0.0675  1 Co 2.94, 1 Zn 2.96, 8 Tm 2.97-3.22
Zn  0.5000  0.9325  0.7853  1 Co 2.94, 1 Zn 2.96, 8 Tm 2.97-3.22
Zn  0.5000  0.0675  0.2147  1 Co 2.94, 1 Zn 2.96, 8 Tm 2.97-3.22
Zn  0.5000  0.5000  0.5000  4 Co 2.69
Co  0.5000  0.5484  0.7364  3 Zn 2.69-2.94, 6 Tm 2.72-2.73
Co  0.5000  0.4516  0.2636  3 Zn 2.69-2.94, 6 Tm 2.72-2.73
Co  0.5000  0.7364  0.5484  3 Zn 2.69-2.94, 6 Tm 2.72-2.73
Co  0.5000  0.2636  0.4516  3 Zn 2.69-2.94, 6 Tm 2.72-2.73

Space group: Cmmm (65)
DFT formation energy, eV per atom: -0.33
Spin magnetization, μB/cell: 0.00
Calculated density, kg/m3: 9258

(2)
# Tm4ZnCo

A relaxed structure of Tm4ZnCo (PBE, the Alexandria database).

Lattice parameters (Å, degrees): 4.7091 4.7119 6.8739 89.83 89.91 90.00
Closest atoms and distances in Å follow each position.
Fractional positions:
Tm  0.5009  0.9964  0.2667  2 Co 2.84-2.85, 2 Zn 2.99
Tm  0.5017  0.9982  0.7295  2 Co 2.84-2.85, 2 Zn 2.99-3.00
Tm  0.0018  0.4981  0.7295  2 Co 2.84-2.85, 2 Zn 2.99
Tm  0.0008  0.4964  0.2668  2 Co 2.84-2.85, 2 Zn 2.99
Zn  0.5012  0.4975  0.9982  8 Tm 2.99-3.00
Co  0.0013  0.9972  0.4981  8 Tm 2.84-2.85

Space group: C2/m (12)
Energy above the most stable polymorph in this dataset, meV per atom: 222
DFT formation energy, eV per atom: -0.04
Spin magnetization, μB/cell: 0.00
Calculated density, kg/m3: 8711

(3)
# TmZn2Co

A relaxed structure of TmZn2Co (PBE, the Alexandria database).

Lattice parameters (Å, degrees): 5.1135 7.2110 14.4138 90.00 90.00 90.00
Closest atoms and distances in Å follow each position.
Fractional positions:
Tm  0.4551  0.2500  0.1395  3 Co 2.64-2.85
Tm  0.9551  0.7500  0.3605  3 Co 2.64-2.85
Tm  0.5449  0.7500  0.8605  3 Co 2.64-2.85
Tm  0.0449  0.2500  0.6395  3 Co 2.64-2.85
Tm  0.7369  0.2500  0.3962  3 Co 2.70-2.96, 2 Zn 2.99
Tm  0.2369  0.7500  0.1038  3 Co 2.70-2.96, 2 Zn 2.99
Tm  0.2631  0.7500  0.6038  3 Co 2.70-2.96, 2 Zn 2.99
Tm  0.7631  0.2500  0.8962  3 Co 2.70-2.96, 2 Zn 2.99
Zn  0.9401  0.0506  0.2113  3 Co 2.46-2.49
Zn  0.4401  0.9494  0.2887  3 Co 2.46-2.49
Zn  0.0599  0.5506  0.7887  3 Co 2.46-2.49
Zn  0.5599  0.4494  0.7113  3 Co 2.46-2.49
Zn  0.0599  0.9494  0.7887  3 Co 2.46-2.49
Zn  0.5599  0.0506  0.7113  3 Co 2.46-2.49
Zn  0.9401  0.4494  0.2113  3 Co 2.46-2.49
Zn  0.4401  0.5506  0.2887  3 Co 2.46-2.49
Zn  0.7510  0.5573  0.0394  3 Co 2.52-2.56, 2 Zn 2.77-2.78
Zn  0.2510  0.4427  0.4606  3 Co 2.52-2.56, 2 Zn 2.77-2.78
Zn  0.2490  0.0573  0.9606  3 Co 2.52-2.56, 2 Zn 2.77-2.78
Zn  0.7490  0.9427  0.5394  3 Co 2.52-2.56, 2 Zn 2.77-2.78
Zn  0.2490  0.4427  0.9606  3 Co 2.52-2.56, 2 Zn 2.77-2.78
Zn  0.7490  0.5573  0.5394  3 Co 2.52-2.56, 2 Zn 2.77-2.78
Zn  0.7510  0.9427  0.0394  3 Co 2.52-2.56, 2 Zn 2.77-2.78
Zn  0.2510  0.0573  0.4606  3 Co 2.52-2.56, 2 Zn 2.77-2.78
Co  0.2090  0.2500  0.3121  6 Zn 2.46-2.56, 1 Tm 2.70
Co  0.7090  0.7500  0.1879  6 Zn 2.46-2.56, 1 Tm 2.70
Co  0.7910  0.7500  0.6879  6 Zn 2.46-2.56, 1 Tm 2.70
Co  0.2910  0.2500  0.8121  6 Zn 2.46-2.56, 1 Tm 2.70
Co  0.9774  0.2500  0.0706  6 Zn 2.49-2.54, 2 Tm 2.64-2.74
Co  0.4774  0.7500  0.4294  6 Zn 2.49-2.54, 2 Tm 2.64-2.74
Co  0.0226  0.7500  0.9294  6 Zn 2.49-2.54, 2 Tm 2.64-2.74
Co  0.5226  0.2500  0.5706  6 Zn 2.49-2.54, 2 Tm 2.64-2.74

Space group: Pnma (62)
DFT formation energy, eV per atom: -0.29
Spin magnetization, μB/cell: 0.00
Calculated density, kg/m3: 8965

(4)
# TmZn6Co6

A relaxed structure of TmZn6Co6 (PBE, the Alexandria database).

Lattice parameters (Å, degrees): 4.8954 6.4925 6.4925 81.90 67.85 67.85
Closest atoms and distances in Å follow each position.
Fractional positions:
Tm  0.0000  0.0000  0.0000  8 Zn 2.87-2.97, 4 Co 3.16
Zn  0.3490  0.6510  0.6510  3 Zn 2.57-2.76, 6 Co 2.59-2.60
Zn  0.6510  0.3490  0.3490  3 Zn 2.57-2.76, 6 Co 2.59-2.60
Zn  0.0000  0.3375  0.6625  6 Co 2.56-2.60, 1 Zn 2.77
Zn  0.0000  0.6625  0.3375  6 Co 2.56-2.60, 1 Zn 2.77
Zn  0.3014  0.1986  0.1986  6 Co 2.49-2.61, 2 Zn 2.76
Zn  0.6986  0.8014  0.8014  6 Co 2.49-2.61, 2 Zn 2.76
Co  0.0000  0.5000  0.0000  4 Co 2.45-2.46, 6 Zn 2.49-2.59
Co  0.5000  0.5000  0.0000  4 Co 2.45-2.46, 6 Zn 2.49-2.59
Co  0.0000  0.0000  0.5000  4 Co 2.45-2.46, 6 Zn 2.49-2.59
Co  0.5000  0.0000  0.5000  4 Co 2.45-2.46, 6 Zn 2.49-2.59
Co  0.5000  0.7657  0.2343  4 Co 2.46, 6 Zn 2.60-2.61
Co  0.5000  0.2343  0.7657  4 Co 2.46, 6 Zn 2.60-2.61

Space group: Immm (71)
DFT formation energy, eV per atom: -0.13
Spin magnetization, μB/cell: 7.36
Calculated density, kg/m3: 8583

(5)
# Tm2ZnCo

A relaxed structure of Tm2ZnCo (PBE, the Alexandria database).

Lattice parameters (Å, degrees): 3.7007 3.7007 9.4066 78.66 78.66 60.00
Closest atoms and distances in Å follow each position.
Fractional positions:
Zn  0.0000  0.0000  0.0000  2 Tm 3.11
Tm  0.1133  0.1133  0.6600  3 Co 2.59
Tm  0.8867  0.8867  0.3400  3 Co 2.59
Co  0.5000  0.5000  0.5000  6 Tm 2.59

Space group: R-3m (166)
Energy above the most stable polymorph in this dataset, meV per atom: 451
DFT formation energy, eV per atom: 0.14
Spin magnetization, μB/cell: 0.00
Calculated density, kg/m3: 7064

(6)
# Tm3Zn8Co3

A relaxed structure of Tm3Zn8Co3 (PBE, the Alexandria database).

Lattice parameters (Å, degrees): 4.2503 7.8121 7.8121 70.92 74.21 74.21
Closest atoms and distances in Å follow each position.
Fractional positions:
Tm  0.5000  0.5000  0.5000  12 Zn 2.97-3.07
Tm  0.8037  0.1963  0.1963  2 Co 2.75, 4 Zn 3.01
Tm  0.1963  0.8037  0.8037  2 Co 2.75, 4 Zn 3.01
Zn  0.6216  0.0926  0.6642  3 Co 2.43-2.63, 2 Zn 2.51
Zn  0.3784  0.9074  0.3358  3 Co 2.43-2.63, 2 Zn 2.51
Zn  0.6216  0.6642  0.0926  3 Co 2.43-2.63, 2 Zn 2.51
Zn  0.3784  0.3358  0.9074  3 Co 2.43-2.63, 2 Zn 2.51
Zn  0.8498  0.7934  0.5070  4 Zn 2.51-2.81, 1 Co 2.56
Zn  0.1502  0.2066  0.4930  4 Zn 2.51-2.81, 1 Co 2.56
Zn  0.8498  0.5070  0.7934  4 Zn 2.51-2.81, 1 Co 2.56
Zn  0.1502  0.4930  0.2066  4 Zn 2.51-2.81, 1 Co 2.56
Co  0.5000  0.0000  0.0000  4 Zn 2.43, 4 Co 2.55
Co  0.0000  0.8440  0.1560  3 Co 2.55-2.83, 6 Zn 2.56-2.63, 2 Tm 2.75
Co  0.0000  0.1560  0.8440  3 Co 2.55-2.83, 6 Zn 2.56-2.63, 2 Tm 2.75

Space group: Immm (71)
DFT formation energy, eV per atom: -0.26
Spin magnetization, μB/cell: 2.68
Calculated density, kg/m3: 8673

(7)
# Tm4ZnCo3

A relaxed structure of Tm4ZnCo3 (PBE, the Alexandria database).

Lattice parameters (Å, degrees): 3.9465 3.9833 10.1974 90.00 90.00 90.00
Closest atoms and distances in Å follow each position.
Fractional positions:
Zn  0.5000  0.5000  0.0667  2 Co 2.44
Tm  0.5000  0.5000  0.3663  6 Co 2.77-2.92, 1 Zn 3.06
Tm  0.0000  0.5000  0.8492  5 Co 2.92-2.98, 2 Zn 2.97
Tm  0.0000  0.0000  0.1443  4 Zn 2.91, 3 Co 2.96-3.07
Tm  0.5000  0.0000  0.6435  7 Co 2.82-2.94
Co  0.0000  0.5000  0.5570  2 Co 2.29
Co  0.0000  0.0000  0.4455  2 Co 2.29
Co  0.5000  0.0000  0.9276  2 Zn 2.44

Space group: Pmm2 (25)
DFT formation energy, eV per atom: -0.25
Spin magnetization, μB/cell: 1.22
Calculated density, kg/m3: 9509

(8)
# TmZn10Co2

A relaxed structure of TmZn10Co2 (PBE, the Alexandria database).

Lattice parameters (Å, degrees): 4.9567 6.6707 6.7925 82.21 68.60 68.19
Closest atoms and distances in Å follow each position.
Fractional positions:
Tm  0.0000  0.0000  0.0000  16 Zn 3.07-3.40, 4 Co 3.34
Zn  0.3469  0.6383  0.6679  2 Co 2.58, 6 Zn 2.69-2.77
Zn  0.6531  0.3617  0.3321  2 Co 2.58, 6 Zn 2.69-2.77
Zn  0.9852  0.3617  0.6679  2 Co 2.58, 6 Zn 2.69-2.77
Zn  0.0148  0.6383  0.3321  2 Co 2.58, 6 Zn 2.69-2.77
Zn  0.0000  0.0000  0.5000  10 Zn 2.48-2.77
Zn  0.5000  0.0000  0.5000  10 Zn 2.48-2.77
Zn  0.2840  0.2223  0.2098  2 Co 2.50, 7 Zn 2.61-2.75
Zn  0.7160  0.7777  0.7902  2 Co 2.50, 7 Zn 2.61-2.75
Zn  0.5063  0.7777  0.2098  2 Co 2.50, 7 Zn 2.61-2.75
Zn  0.4937  0.2223  0.7902  2 Co 2.50, 7 Zn 2.61-2.75
Co  0.0000  0.5000  0.0000  2 Co 2.48, 8 Zn 2.50-2.58
Co  0.5000  0.5000  0.0000  2 Co 2.48, 8 Zn 2.50-2.58

Space group: Fmmm (69)
DFT formation energy, eV per atom: -0.15
Spin magnetization, μB/cell: 2.25
Calculated density, kg/m3: 8048

(9)
# Tm2ZnCo

A relaxed structure of Tm2ZnCo (PBE, the Alexandria database).

Lattice parameters (Å, degrees): 3.3434 3.3434 7.1250 90.00 90.00 90.00
Closest atoms and distances in Å follow each position.
Fractional positions:
Zn  0.5000  0.5000  0.5000  8 Tm 3.07, 4 Zn 3.34
Tm  0.0000  0.0000  0.7741  4 Co 2.86, 4 Zn 3.07
Tm  0.0000  0.0000  0.2259  4 Co 2.86, 4 Zn 3.07
Co  0.5000  0.5000  0.0000  8 Tm 2.86

Space group: P4/mmm (123)
Energy above the most stable polymorph in this dataset, meV per atom: 0
DFT formation energy, eV per atom: -0.31
Spin magnetization, μB/cell: 0.40
Calculated density, kg/m3: 9637

(10)
# TmZn8Co4

A relaxed structure of TmZn8Co4 (PBE, the Alexandria database).

Lattice parameters (Å, degrees): 4.9942 6.5667 6.5667 81.69 67.65 67.65
Closest atoms and distances in Å follow each position.
Fractional positions:
Tm  0.0000  0.0000  0.0000  12 Zn 2.90-3.15
Zn  0.0000  0.3381  0.6619  4 Co 2.60, 5 Zn 2.68-2.78, 1 Tm 2.90
Zn  0.0000  0.6619  0.3381  4 Co 2.60, 5 Zn 2.68-2.78, 1 Tm 2.90
Zn  0.3381  0.6619  0.6619  4 Co 2.60, 5 Zn 2.68-2.78, 1 Tm 2.90
Zn  0.6619  0.3381  0.3381  4 Co 2.60, 5 Zn 2.68-2.78, 1 Tm 2.90
Zn  0.5000  0.7762  0.2238  4 Co 2.49, 6 Zn 2.68-2.75
Zn  0.5000  0.2238  0.7762  4 Co 2.49, 6 Zn 2.68-2.75
Zn  0.2762  0.2238  0.2238  4 Co 2.49, 6 Zn 2.68-2.75
Zn  0.7238  0.7762  0.7762  4 Co 2.49, 6 Zn 2.68-2.75
Co  0.0000  0.0000  0.5000  8 Zn 2.49-2.60, 2 Co 2.50
Co  0.5000  0.0000  0.5000  8 Zn 2.49-2.60, 2 Co 2.50
Co  0.0000  0.5000  0.0000  8 Zn 2.49-2.60, 2 Co 2.50
Co  0.5000  0.5000  0.0000  8 Zn 2.49-2.60, 2 Co 2.50

Space group: I4/mmm (139)
DFT formation energy, eV per atom: -0.16
Spin magnetization, μB/cell: 3.86
Calculated density, kg/m3: 8364

Asked for total DFT energy (no corrections) across the records above, the calculation gives -97.0 -26.5 -122.2 -56.4 -16.8 -48.5 -42.5 -33.4 -18.6 -45.2 eV/cell in order.